Run P
Here is crystalline V3GeH3 at its relaxed geometry from Alexandria via LeMat-Bulk. Energies are from PBE.

Results
- Crystal system: trigonal

```
data_V3GeH3
_chemical_formula_sum 'V6 Ge2 H6'
_space_group_name_H-M_alt 'P 1'
_space_group_IT_number 1
_cell_length_a 6.801
_cell_length_b 6.801
_cell_length_c 6.801
_cell_angle_alpha 43.78
_cell_angle_beta 43.78
_cell_angle_gamma 43.78
loop_
_space_group_symop_operation_xyz
'x,y,z'
loop_
_atom_site_label
_atom_site_type_symbol
_atom_site_fract_x
_atom_site_fract_y
_atom_site_fract_z
V1 V 0.104 0.412 0.788
V2 V 0.212 0.896 0.588
V3 V 0.412 0.788 0.104
V4 V 0.588 0.212 0.896
V5 V 0.788 0.104 0.412
V6 V 0.896 0.588 0.212
Ge1 Ge 0.333 0.333 0.333
Ge2 Ge 0.667 0.667 0.667
H1 H 0.133 0.786 0.483
H2 H 0.214 0.517 0.867
H3 H 0.483 0.133 0.786
H4 H 0.517 0.867 0.214
H5 H 0.786 0.483 0.133
H6 H 0.867 0.214 0.517
```

=====

Run Q
Here is crystalline V3GeH3 at its relaxed geometry from Alexandria via LeMat-Bulk. Energies are from PBE.

Results
- Crystal system: cubic

```
data_V3GeH3
_chemical_formula_sum 'V6 Ge2 H6'
_space_group_name_H-M_alt 'P 1'
_space_group_IT_number 1
_cell_length_a 4.996
_cell_length_b 4.996
_cell_length_c 4.996
_cell_angle_alpha 90.00
_cell_angle_beta 90.00
_cell_angle_gamma 90.00
loop_
_space_group_symop_operation_xyz
'x,y,z'
loop_
_atom_site_label
_atom_site_type_symbol
_atom_site_fract_x
_atom_site_fract_y
_atom_site_fract_z
V1 V 0.000 0.250 0.500
V2 V 0.000 0.750 0.500
V3 V 0.250 0.500 0.000
V4 V 0.500 0.000 0.250
V5 V 0.500 0.000 0.750
V6 V 0.750 0.500 0.000
Ge1 Ge 0.000 0.000 0.000
Ge2 Ge 0.500 0.500 0.500
H1 H 0.000 0.500 0.250
H2 H 0.000 0.500 0.750
H3 H 0.250 0.000 0.500
H4 H 0.500 0.250 0.000
H5 H 0.500 0.750 0.000
H6 H 0.750 0.000 0.500
```

=====

Ranking the structures above by energy, run Q is first and the second is 0.185 eV/atom behind.